No. 1
# Re2IrRu

A relaxed structure of Re2IrRu (PBE, Alexandria via LeMat-Bulk).

The energy above the most stable polymorph in this dataset is 198 meV/atom. The formation energy is -0.05 eV/f.u.

The structure belongs to space group R-3m (No. 166, hexagonal axes); the cell edges are 2.7453, 2.7453 and 26.8282 Å and the angles 90.00°, 90.00° and 120.00°. The distinct sites, in fractional coordinates, are Re at (0.0000, 0.0000, 0.2503), Ir at (0.0000, 0.0000, 0.5000) and Ru at (0.0000, 0.0000, 0.0000).

No. 2
# Rb2AlHgI6

A relaxed structure of Rb2AlHgI6 (PBE, Alexandria via LeMat-Bulk).

The total DFT energy (no corrections) comes out at -47.0 eV/cell.

The structure belongs to space group I4/mmm (No. 139); the cell edges are 8.406, 8.406 and 11.944 Å and the angles 90.00°, 90.00° and 90.00°. The distinct sites, in fractional coordinates, are Rb at (0.000, 0.500, 0.250), Al at (0.000, 0.000, 0.000), Hg at (0.000, 0.000, 0.500), I at (0.000, 0.000, 0.235) and I at (0.236, 0.236, 0.000).

Question: Number 1 is which compound?
Answer: Re2IrRu

Copy entry 2 word for word.
# Rb2AlHgI6

A relaxed structure of Rb2AlHgI6 (PBE, Alexandria via LeMat-Bulk).

The total DFT energy (no corrections) comes out at -47.0 eV/cell.

The structure belongs to space group I4/mmm (No. 139); the cell edges are 8.406, 8.406 and 11.944 Å and the angles 90.00°, 90.00° and 90.00°. The distinct sites, in fractional coordinates, are Rb at (0.000, 0.500, 0.250), Al at (0.000, 0.000, 0.000), Hg at (0.000, 0.000, 0.500), I at (0.000, 0.000, 0.235) and I at (0.236, 0.236, 0.000).